## P
Below is a relaxed LiSnBi crystal, with properties calculated at the PBE level.

Structure (extended XYZ):
```
3
Lattice="3.3733 0.0000 0.0000 0.0000 5.3139 0.0000 0.0000 -2.6569 4.6019" Properties=species:S:1:pos:R:3 pbc="T T T"
Li 2.2377 0.0000 3.0680
Bi 0.3039 0.0000 0.0000
Sn 0.8317 2.6569 1.5340
```

volume: 82.49 Å³/cell
SG: P3m1 (156)

## Q
Below is a relaxed LiSnBi crystal, with properties calculated at the PBE level.

Structure (extended XYZ):
```
12
Lattice="-5.5377 0.9199 3.2941 2.9427 -2.0467 5.5186 1.9397 6.6066 1.4159" Properties=species:S:1:pos:R:3 pbc="T T T"
Li 0.0000 0.0000 0.0000
Li -0.3277 2.7399 5.1143
Li 2.4412 2.2800 3.4673
Li -2.7689 0.4600 1.6470
Sn -0.5858 4.6437 7.3638
Sn 1.6302 0.5903 5.7908
Sn -0.0695 0.8362 2.8649
Sn -2.2855 4.8895 4.4378
Bi -2.7944 0.9243 4.6895
Bi 0.2731 4.2345 2.4916
Bi 2.1391 4.5555 5.5391
Bi -0.9284 1.2453 7.7370
```

volume: 301.09 Å³/cell
SG: Pnma (62)

Computed energies relative to the best structure, in meV per atom: P 99; Q 0

## P
Below is a relaxed LiSnBi crystal, with properties calculated at the PBE level.

Structure (extended XYZ):
```
3
Lattice="4.8012 0.0000 0.0000 2.4006 4.1580 0.0000 2.4006 1.3860 3.9202" Properties=species:S:1:pos:R:3 pbc="T T T"
Li 2.4006 1.3860 0.9800
Bi 0.0000 0.0000 0.0000
Sn 4.8012 2.7720 1.9601
```

volume: 78.26 Å³/cell
SG: F-43m (216)

## Q
Below is a relaxed LiSnBi crystal, with properties calculated at the PBE level.

Structure (extended XYZ):
```
6
Lattice="5.8153 -0.8693 0.1088 -3.5284 4.6956 -0.0935 -0.1174 0.0438 6.6029" Properties=species:S:1:pos:R:3 pbc="T T T"
Li -1.7642 2.3478 -0.0467
Li -1.8229 2.3697 3.2547
Sn 0.7626 3.4328 1.6429
Sn 1.4069 0.4373 4.9753
Bi 0.6395 3.4912 4.9428
Bi 1.5300 0.3789 1.6754
```

volume: 160.11 Å³/cell
SG: P2_1/m (11)

Computed energies relative to the best structure, in meV per atom: P 0; Q 27

## P
Below is a relaxed LiSnBi crystal, with properties calculated at the PBE level.

Structure (extended XYZ):
```
6
Lattice="-0.4176 -2.6024 -3.7484 -1.7487 -3.6698 2.7427 -6.4332 3.7491 0.9148" Properties=species:S:1:pos:R:3 pbc="T T T"
Sn -7.1218 -0.6110 1.2177
Sn -1.4776 -1.9122 -1.3087
Bi -5.3911 -2.6270 -0.3764
Bi -3.2084 0.1039 0.2854
Li -6.1710 -0.1824 -1.9867
Li -2.4284 -2.3407 1.8956
```

volume: 160.52 Å³/cell
SG: Cmcm (63)

## Q
Below is a relaxed LiSnBi crystal, with properties calculated at the PBE level.

Structure (extended XYZ):
```
3
Lattice="4.1146 0.0000 0.0000 0.0000 4.1146 0.0000 -2.0573 -2.0573 4.7021" Properties=species:S:1:pos:R:3 pbc="T T T"
Bi 2.0573 2.0573 1.0390
Sn 2.0573 2.0573 4.2977
Li 0.0000 0.0000 2.6568
```

volume: 79.60 Å³/cell
SG: I4mm (107)

Computed energies relative to the best structure, in meV per atom: P 0; Q 27

## P
Below is a relaxed LiSnBi3 crystal, with properties calculated at the PBE level.

Structure (extended XYZ):
```
5
Lattice="5.8720 0.0000 0.0000 0.0000 5.8720 0.0000 0.0000 0.0000 5.8720" Properties=species:S:1:pos:R:3 pbc="T T T"
Li 2.9360 2.9360 2.9360
Bi 0.0000 2.9360 0.0000
Bi 0.0000 0.0000 2.9360
Bi 2.9360 0.0000 0.0000
Sn 0.0000 0.0000 0.0000
```

volume: 202.47 Å³/cell
SG: Pm-3m (221)

## Q
Below is a relaxed LiSnBi3 crystal, with properties calculated at the PBE level.

Structure (extended XYZ):
```
5
Lattice="-3.4698 -2.0276 3.3764 -2.7135 -2.0306 -4.0080 2.8545 -4.3950 0.2941" Properties=species:S:1:pos:R:3 pbc="T T T"
Li 0.0000 0.0000 0.0000
Bi -1.3568 -1.0153 -2.0040
Bi 1.4272 -2.1975 0.1471
Bi -1.7349 -1.0138 1.6882
Sn -1.6644 -4.2266 -0.1687
```

volume: 144.61 Å³/cell
SG: Pm-3m (221)

Computed energies relative to the best structure, in meV per atom: P 295; Q 0

## P
Below is a relaxed Li2Sn2Bi crystal, with properties calculated at the PBE level.

Structure (extended XYZ):
```
10
Lattice="-7.9706 0.0453 -2.5601 -2.1606 -4.6107 6.6453 -0.5498 2.7958 1.7610" Properties=species:S:1:pos:R:3 pbc="T T T"
Li -4.9512 -4.0497 4.8835
Li -8.3658 -2.8091 1.8480
Li -5.1799 -0.5157 -0.7983
Li -1.7654 -1.7563 2.2372
Bi 0.0000 0.0000 0.0000
Bi -5.0656 -2.2827 2.0426
Sn -3.1660 -1.7235 4.9333
Sn -7.4592 -2.3580 4.6004
Sn -7.5150 -0.0462 0.9129
Sn -3.2217 0.5883 1.2458
```

volume: 234.76 Å³/cell
SG: P4/mbm (127)

## Q
Below is a relaxed Li2Sn2Bi crystal, with properties calculated at the PBE level.

Structure (extended XYZ):
```
5
Lattice="4.4126 0.0000 0.0000 0.0000 4.4126 0.0000 2.2063 2.2063 6.3752" Properties=species:S:1:pos:R:3 pbc="T T T"
Li 4.4126 2.2063 3.1876
Li 2.2063 4.4126 3.1876
Bi 0.0000 0.0000 0.0000
Sn 2.2063 2.2063 1.3958
Sn 4.4126 4.4126 4.9794
```

volume: 124.13 Å³/cell
SG: I4/mmm (139)

## R
Below is a relaxed Li2Sn2Bi crystal, with properties calculated at the PBE level.

Structure (extended XYZ):
```
5
Lattice="3.2695 0.0000 0.0000 0.0000 3.2648 0.6186 0.0000 -0.3913 10.9899" Properties=species:S:1:pos:R:3 pbc="T T T"
Li 1.6348 1.2367 2.3976
Li 1.6348 1.6368 9.2110
Sn 0.0000 0.3748 6.9466
Sn 0.0000 2.4987 4.6619
Bi 0.0000 0.0000 0.0000
```

volume: 118.10 Å³/cell
SG: Cmmm (65)

Computed energies relative to the best structure, in meV per atom: P 92; Q 146; R 0

## P
Below is a relaxed Li4SnBi2 crystal, with properties calculated at the PBE level.

Structure (extended XYZ):
```
7
Lattice="-4.6452 1.8235 1.8956 -2.6014 -2.6168 -3.8575 3.2022 -4.2426 4.4120" Properties=species:S:1:pos:R:3 pbc="T T T"
Li -2.5331 -1.4079 2.6633
Li -1.5112 -3.6280 -0.2133
Li -2.3226 0.9118 0.9478
Li -1.3007 -1.3084 -1.9288
Sn 0.0000 0.0000 0.0000
Bi -3.7356 -1.6338 -0.0660
Bi -0.3088 -3.4020 2.5160
```

volume: 164.86 Å³/cell
SG: I4/mmm (139)

## Q
Below is a relaxed Li4SnBi2 crystal, with properties calculated at the PBE level.

Structure (extended XYZ):
```
7
Lattice="5.0961 0.0000 0.0000 0.0000 5.0961 0.0000 2.5480 2.5480 7.2725" Properties=species:S:1:pos:R:3 pbc="T T T"
Li 2.5480 2.5480 4.5620
Li 5.0961 5.0961 2.7105
Li 0.0000 2.5480 0.0000
Li 2.5480 0.0000 0.0000
Bi 2.5480 2.5480 1.6076
Bi 5.0961 5.0961 5.6649
Sn 0.0000 0.0000 0.0000
```

volume: 188.87 Å³/cell
SG: I4/mmm (139)

## R
Below is a relaxed Li4SnBi2 crystal, with properties calculated at the PBE level.

Structure (extended XYZ):
```
7
Lattice="4.6894 0.0000 1.4651 2.1158 4.1849 1.4651 -0.0656 -0.0404 8.4475" Properties=species:S:1:pos:R:3 pbc="T T T"
Li 5.9102 3.6345 5.7950
Li 0.8294 0.5100 5.5827
Li 4.1980 2.5816 3.0378
Li 2.5415 1.5629 8.3399
Sn 0.0000 0.0000 0.0000
Bi 5.0559 3.1092 8.5294
Bi 1.6837 1.0354 2.8483
```

volume: 166.34 Å³/cell
SG: R-3m (166)

Computed energies relative to the best structure, in meV per atom: P 201; Q 348; R 0

## P
Below is a relaxed SrLi3Bi3 crystal, with properties calculated at the PBE level.

Structure (extended XYZ):
```
14
Lattice="-1.3473 -4.4681 -5.1885 4.5264 -5.1029 -1.4741 -3.2705 -8.7356 3.6789" Properties=species:S:1:pos:R:3 pbc="T T T"
Sr 0.7964 -3.5276 -1.8621
Sr -0.8878 -14.7791 -1.1217
Li 0.8580 -11.5364 -2.0190
Li -2.5764 -8.8603 -2.0244
Li 0.6271 -8.2850 0.8676
Li -0.7186 -10.0216 -3.8514
Li 2.4849 -9.4463 -0.9594
Li -0.9495 -6.7702 -0.9648
Bi 1.9265 -6.7266 -1.3199
Bi -0.8556 -7.1288 -3.7399
Bi 2.0250 -9.4642 -3.8208
Bi -2.1165 -8.8424 0.8370
Bi 0.7641 -11.1778 0.7562
Bi -2.0180 -11.5800 -1.6638
```

volume: 387.25 Å³/cell
SG: R-3 (148)

## Q
Below is a relaxed SrLi3Bi3 crystal, with properties calculated at the PBE level.

Structure (extended XYZ):
```
14
Lattice="7.5210 0.0000 0.0000 0.0000 7.5210 0.0000 0.0000 0.0000 7.5210" Properties=species:S:1:pos:R:3 pbc="T T T"
Sr 3.7605 3.7605 3.7605
Sr 0.0000 0.0000 0.0000
Bi 0.0000 1.8802 3.7605
Bi 0.0000 5.6407 3.7605
Bi 3.7605 0.0000 5.6407
Bi 5.6407 3.7605 0.0000
Bi 3.7605 0.0000 1.8802
Bi 1.8802 3.7605 0.0000
Li 1.8802 0.0000 3.7605
Li 0.0000 3.7605 1.8802
Li 3.7605 5.6407 0.0000
Li 5.6407 0.0000 3.7605
Li 0.0000 3.7605 5.6407
Li 3.7605 1.8802 0.0000
```

volume: 425.42 Å³/cell
SG: Pm-3n (223)

Computed energies relative to the best structure, in meV per atom: P 0; Q 273

## P
Below is a relaxed Sr2Li2Bi crystal, with properties calculated at the PBE level.

Structure (extended XYZ):
```
5
Lattice="-3.3893 -0.2193 2.4281 1.7959 -3.0367 2.2325 3.2369 5.3609 8.5918" Properties=species:S:1:pos:R:3 pbc="T T T"
Sr -0.0444 -0.3245 3.4981
Sr 1.6879 2.4294 9.7543
Bi 0.0000 0.0000 0.0000
Li -0.4745 1.7568 6.6751
Li 2.1181 0.3481 6.5773
```

volume: 178.03 Å³/cell
SG: I4/mmm (139)

## Q
Below is a relaxed Sr2Li2Bi crystal, with properties calculated at the PBE level.

Structure (extended XYZ):
```
10
Lattice="-4.7763 0.9207 -6.1703 3.4136 -6.1187 -3.5555 -3.3836 -3.1376 2.1510" Properties=species:S:1:pos:R:3 pbc="T T T"
Sr -0.2414 -5.6062 -2.5322
Sr -2.2073 -5.9027 -6.0571
Sr -4.5049 -2.7294 -5.0425
Sr -2.5390 -2.4330 -1.5176
Bi 0.0000 0.0000 0.0000
Bi -0.6813 -2.5990 -4.8629
Li 1.1967 -5.0052 -5.4185
Li -2.0404 -3.0232 -7.6194
Li -2.5594 -0.1928 -4.3072
Li 0.6777 -2.1748 -2.1063
```

volume: 314.29 Å³/cell
SG: P4/mbm (127)

Computed energies relative to the best structure, in meV per atom: P 81; Q 0